No. 1
{
  "formula": "YZrAgOs",
  "functional": "PBE",
  "state": "relaxed",
  "formation_energy_mev_per_atom": -207,
  "lattice_angstrom": [[6.862, 0.000, 0.000], [0.000, 6.862, 0.000], [0.000, 0.000, 6.862]],
  "species": ["Y", "Y", "Y", "Y", "Zr", "Zr", "Zr", "Zr", "Ag", "Ag", "Ag", "Ag", "Os", "Os", "Os", "Os"],
  "fractional_positions": [[0.000, 0.000, 0.000], [0.000, 0.500, 0.500], [0.500, 0.000, 0.500], [0.500, 0.500, 0.000], [0.000, 0.000, 0.500], [0.000, 0.500, 0.000], [0.500, 0.000, 0.000], [0.500, 0.500, 0.500], [0.250, 0.250, 0.750], [0.250, 0.750, 0.250], [0.750, 0.250, 0.250], [0.750, 0.750, 0.750], [0.250, 0.250, 0.250], [0.250, 0.750, 0.750], [0.750, 0.250, 0.750], [0.750, 0.750, 0.250]]
}

No. 2
{
  "formula": "Na4BiSb",
  "functional": "PBE",
  "state": "relaxed",
  "polymorph_energy_ev_per_atom": 0.000,
  "formation_energy_uncorrected_ev_per_atom": -0.316,
  "lattice_angstrom": [[8.613, 0.000, 0.000], [0.000, 9.109, 0.000], [-3.192, 0.000, 4.173]],
  "species": ["Na", "Na", "Na", "Na", "Na", "Na", "Na", "Na", "Bi", "Bi", "Sb", "Sb"],
  "fractional_positions": [[0.247, 0.166, 0.247], [0.247, 0.834, 0.247], [0.253, 0.334, 0.753], [0.253, 0.666, 0.753], [0.747, 0.334, 0.247], [0.747, 0.666, 0.247], [0.753, 0.166, 0.753], [0.753, 0.834, 0.753], [0.000, 0.500, 0.000], [0.500, 0.000, 0.000], [0.000, 0.000, 0.500], [0.500, 0.500, 0.500]]
}

No. 3
{
  "formula": "Cs2Ta4S7",
  "functional": "PBE",
  "state": "relaxed",
  "formation_energy_uncorrected_ev_per_atom": -0.711,
  "lattice_angstrom": [[6.372, 0.000, 0.000], [-3.186, 5.519, 0.000], [0.000, 0.000, 8.957]],
  "species": ["Cs", "Cs", "Ta", "Ta", "Ta", "Ta", "S", "S", "S", "S", "S", "S", "S"],
  "fractional_positions": [[0.333, 0.667, 0.000], [0.667, 0.333, 0.000], [0.000, 0.000, 0.259], [0.000, 0.000, 0.741], [0.333, 0.667, 0.500], [0.667, 0.333, 0.500], [0.000, 0.000, 0.000], [0.000, 0.349, 0.341], [0.000, 0.651, 0.659], [0.349, 0.000, 0.341], [0.349, 0.349, 0.659], [0.651, 0.000, 0.659], [0.651, 0.651, 0.341]]
}

No. 4
{
  "formula": "Rb2CuCl6F",
  "functional": "PBE",
  "state": "relaxed",
  "formation_energy_uncorrected_ev_per_atom": -0.954,
  "lattice_angstrom": [[-3.740, 3.740, 4.547], [3.740, -3.740, 4.547], [3.740, 3.740, -4.547]],
  "species": ["Rb", "Rb", "Cu", "Cl", "Cl", "Cl", "Cl", "Cl", "Cl", "F"],
  "fractional_positions": [[0.250, 0.750, 0.500], [0.750, 0.250, 0.500], [0.000, 0.000, 0.000], [0.211, 0.211, 0.422], [0.211, 0.789, 0.000], [0.276, 0.276, 0.000], [0.724, 0.724, 0.000], [0.789, 0.211, 0.000], [0.789, 0.789, 0.578], [0.500, 0.500, 0.000]]
}

No. 5
{
  "formula": "AcPuBi2",
  "functional": "PBE",
  "state": "relaxed",
  "polymorph_energy_ev_per_atom": 0.000,
  "formation_energy_mev_per_atom": -642,
  "lattice_angstrom": [[4.727, 0.000, 0.000], [-2.363, 4.093, 0.000], [0.000, 0.000, 22.974]],
  "species": ["Ac", "Ac", "Ac", "Pu", "Pu", "Pu", "Bi", "Bi", "Bi", "Bi", "Bi", "Bi"],
  "fractional_positions": [[0.000, 0.000, 0.000], [0.333, 0.667, 0.667], [0.667, 0.333, 0.333], [0.000, 0.000, 0.500], [0.333, 0.667, 0.167], [0.667, 0.333, 0.833], [0.000, 0.000, 0.243], [0.000, 0.000, 0.757], [0.333, 0.667, 0.424], [0.333, 0.667, 0.909], [0.667, 0.333, 0.091], [0.667, 0.333, 0.576]]
}

No. 6
{
  "formula": "Zr2NpMo",
  "functional": "PBE",
  "state": "relaxed",
  "formation_energy_mev_per_atom": 497,
  "lattice_angstrom": [[3.131, 0.000, 0.000], [-1.566, 2.712, 0.000], [0.000, 0.000, 30.716]],
  "species": ["Zr", "Zr", "Zr", "Zr", "Zr", "Zr", "Np", "Np", "Np", "Mo", "Mo", "Mo"],
  "fractional_positions": [[0.000, 0.000, 0.098], [0.000, 0.000, 0.902], [0.333, 0.667, 0.568], [0.333, 0.667, 0.765], [0.667, 0.333, 0.235], [0.667, 0.333, 0.432], [0.000, 0.000, 0.000], [0.333, 0.667, 0.667], [0.667, 0.333, 0.333], [0.000, 0.000, 0.500], [0.333, 0.667, 0.167], [0.667, 0.333, 0.833]]
}